The following is a DFT calculation (GGA-PBE) of an optimized crystal structure of SrPmY2.

Summary:
magnetization = 0.0 μB/cell
polymorph energy (0 for the lowest one) = 100.8 meV per atom
Fermi-level density of states = 1.53 states/eV/atom
energy = -4.627 eV/atom
energy relative to the elements = 0.213 eV per atom

CIF file:
```
data_SrPmY2
_cell_length_a 3.6457
_cell_length_b 3.6457
_cell_length_c 38.5132
_cell_angle_alpha 90.00
_cell_angle_beta 90.00
_cell_angle_gamma 120.00
_symmetry_space_group_name_H-M 'R -3 m'
_symmetry_Int_Tables_number 166
_symmetry_space_group_name_Hall '-R 3 2"'
loop_
_atom_site_label
_atom_site_type_symbol
_atom_site_fract_x
_atom_site_fract_y
_atom_site_fract_z
Sr1 Sr 0.0000 0.0000 0.0000
Pm1 Pm 0.0000 0.0000 0.5000
Y1 Y 0.0000 0.0000 0.0921
```